Entry from the Alexandria database: a geometry-optimized KSr2Re structure (PBE).

Geometry as CIF:
```
data_KSr2Re
_chemical_formula_sum 'K1 Sr2 Re1'
_cell_length_a 4.295
_cell_length_b 4.295
_cell_length_c 9.446
_cell_angle_alpha 90.00
_cell_angle_beta 90.00
_cell_angle_gamma 90.00
_space_group_name_H-M_alt 'P 4 m m'
_space_group_IT_number 99
loop_
_space_group_symop_operation_xyz
'x,y,z'
'-y,x,z'
'-x,-y,z'
'y,-x,z'
'-x,y,z'
'y,x,z'
'x,-y,z'
'-y,-x,z'
loop_
_atom_site_label
_atom_site_type_symbol
_atom_site_fract_x
_atom_site_fract_y
_atom_site_fract_z
_atom_site_occupancy
K1 K 0.000 0.000 0.000 1
Sr1 Sr 0.000 0.000 0.369 1
Sr2 Sr 0.500 0.500 0.631 1
Re1 Re 0.500 0.500 0.299 1
```

density	3.8	g cm⁻³
ΔE to the lowest computed polymorph	0.309	eV per atom
crystal system	tetragonal
magnetization	2.6	μB/cell
energy relative to the elements	108.9	kJ/mol of atoms
VASP energy	-0.1139	hartree per atom